Compound: LiTaIn
Source: Alexandria via LeMat-Bulk
Functional: PBE
Structure: relaxed

Unit cell a=4.5190 b=4.5190 c=3.0386 alpha=90.00 beta=90.00 gamma=120.00
Atoms (fractional coordinates):
Li: 0.0000 0.0000 0.0000
Ta: 0.6667 0.3333 0.5000
In: 0.3333 0.6667 0.0000

Computed properties:
* V: 54 Å³ per cell
* energy relative to the lowest polymorph listed for this composition: 0.25 eV/f.u.
* formation energy from the elements: 0.288 eV/atom
* SG: P-6m2, No. 187

Compound: Li2RuF
Source: Alexandria via LeMat-Bulk
Functional: PBE
Structure: relaxed

Unit cell a=5.2994 b=5.2994 c=5.2994 alpha=117.25 beta=117.25 gamma=94.84
Atoms (fractional coordinates):
Li: 0.3750 0.2464 0.3714
Li: 0.7536 0.1250 0.1286
Li: 0.8750 0.0036 0.6286
Li: 0.9964 0.6250 0.8714
Ru: 0.2500 0.7500 0.5000
Ru: 0.5000 0.5000 0.0000
F: 0.0000 0.0000 0.0000
F: 0.7500 0.2500 0.5000

Computed properties:
* V: 109 Å³ per cell
* energy relative to the lowest polymorph listed for this composition: 2.84 eV/f.u.
* formation energy from raw total energies: -0.6048 eV per atom
* SG: I-42d, No. 122

Compound: PaSnHgAu
Source: Alexandria via LeMat-Bulk
Functional: PBE
Structure: relaxed

Unit cell a=5.0820 b=5.0820 c=5.0820 alpha=60.00 beta=60.00 gamma=60.00
Atoms (fractional coordinates):
Pa: 0.0000 0.0000 0.0000
Sn: 0.5000 0.5000 0.5000
Hg: 0.7500 0.7500 0.7500
Au: 0.2500 0.2500 0.2500

Computed properties:
* V: 93 Å³ per cell
* formation energy from the elements: -0.170 eV/atom
* SG: F-43m, No. 216

Compound: CaCeMgTl
Source: Alexandria via LeMat-Bulk
Functional: PBE
Structure: relaxed

Unit cell a=5.5003 b=5.5003 c=5.5003 alpha=60.00 beta=60.00 gamma=60.00
Atoms (fractional coordinates):
Ca: 0.0000 0.0000 0.0000
Ce: 0.5000 0.5000 0.5000
Mg: 0.2500 0.2500 0.2500
Tl: 0.7500 0.7500 0.7500

Computed properties:
* V: 118 Å³ per cell
* formation energy from the elements: -0.177 eV/atom
* SG: F-43m, No. 216

Compound: TaRu2Au
Source: Alexandria via LeMat-Bulk
Functional: PBE
Structure: relaxed

Unit cell a=8.8697 b=8.8697 c=8.8697 alpha=19.29 beta=19.29 gamma=19.29
Atoms (fractional coordinates):
Ta: 0.0000 0.0000 0.0000
Ru: 0.2574 0.2574 0.2574
Ru: 0.7426 0.7426 0.7426
Au: 0.5000 0.5000 0.5000

Computed properties:
* V: 67 Å³ per cell
* energy relative to the lowest polymorph listed for this composition: 1.11 eV/f.u.
* formation energy from the elements: 0.119 eV/atom
* SG: R-3m, No. 166

Compound: TcPbBr2
Source: Alexandria via LeMat-Bulk
Functional: PBE
Structure: relaxed

Unit cell a=10.4054 b=10.4054 c=10.4054 alpha=18.39 beta=18.39 gamma=18.39
Atoms (fractional coordinates):
Tc: 0.0000 0.0000 0.0000
Pb: 0.5000 0.5000 0.5000
Br: 0.0781 0.0781 0.0781
Br: 0.9219 0.9219 0.9219

Computed properties:
* V: 98 Å³ per cell
* energy relative to the lowest polymorph listed for this composition: 1.59 eV/f.u.
* formation energy from raw total energies: 0.4147 eV per atom
* SG: R-3m, No. 166